No. 1
# MgAlAu2

A geometry-optimized MgAlAu2 structure (PBE, Alexandria).

As for the density of states at the Fermi level: 1.05 states/eV/cell. As for the total magnetization: 0.0000 μB/atom. The calculation puts the formation energy at 0.03 eV per formula unit. The calculation puts the total DFT energy (no corrections) at -2.966 eV per atom.

a = 6.233 Å, b = 6.233 Å, c = 6.233 Å
α = 152.78°, β = 133.73°, γ = 54.51°
Fractional positions:
Mg1 0.000 0.000 0.000
Al1 0.500 0.500 0.000
Au1 0.264 0.264 0.000
Au2 0.736 0.736 0.000



No. 2
# SiTcH2I

A geometry-optimized SiTcH2I structure (PBE, Alexandria).

As for the density of states at the Fermi level: 2.78 states/eV/cell. As for the total magnetization: 0.1865 μB/atom. The calculation puts the total DFT energy (no corrections) at -3.828 eV per atom.

a = 3.862 Å, b = 3.862 Å, c = 5.295 Å
α = 90.00°, β = 90.00°, γ = 90.00°
Fractional positions:
Si1 0.000 0.000 0.000
Tc1 0.500 0.500 0.500
H1 0.000 0.500 0.500
H2 0.500 0.000 0.500
I1 0.500 0.500 0.000



No. 3
# KIrAu

A geometry-optimized KIrAu structure (PBE, Alexandria).

As for the density of states at the Fermi level: 1.04 states/eV/cell. As for the total magnetization: 0.0000 μB/atom. The calculation puts the formation energy at 0.52 eV per formula unit. The calculation puts the total DFT energy (no corrections) at -4.238 eV per atom. The calculation puts the energy above the lowest structure with this stoichiometry at 67.9 meV per atom.

a = 6.206 Å, b = 6.206 Å, c = 6.206 Å
α = 135.98°, β = 105.76°, γ = 90.53°
Fractional positions:
K1 0.364 0.114 0.250
K2 0.636 0.886 0.750
Ir1 0.043 0.293 0.750
Ir2 0.957 0.707 0.250
Au1 0.000 0.500 0.500
Au2 0.500 0.500 0.000



No. 4
# TiAu2I

A geometry-optimized TiAu2I structure (PBE, Alexandria).

As for the density of states at the Fermi level: 4.60 states/eV/cell. The value obtained for the uncorrected formation energy is 0.40 eV per atom. As for the total magnetization: 0.2269 μB/atom. The calculation puts the total DFT energy (no corrections) at -3.598 eV per atom. The calculation puts the energy above the lowest structure with this stoichiometry at 293.7 meV per atom.

a = 4.953 Å, b = 4.953 Å, c = 4.953 Å
α = 60.00°, β = 60.00°, γ = 60.00°
Fractional positions:
Ti1 0.000 0.000 0.000
Au1 0.250 0.250 0.250
Au2 0.750 0.750 0.750
I1 0.500 0.500 0.500



Question: Which of these has the lowest total DFT energy (no corrections)?
Answer: KIrAu